Record 1
A plane-wave DFT calculation with PBE was carried out for a relaxed Sr2TlBiO crystal.

size of the total moment: 0.00 μB/f.u.
symmetry: No. 123
crystal system: tetragonal

Unit cell a=5.1532 b=5.1532 c=5.2852 alpha=90.00 beta=90.00 gamma=90.00
Last column: nearest neighbours and their distance in Å.
Sites, in units of the cell vectors:
Sr: 0.0000 0.5000 0.0000  2 O 2.58
Sr: 0.5000 0.0000 0.0000  2 O 2.58
Tl: 0.0000 0.0000 0.5000  2 O 2.64
Bi: 0.5000 0.5000 0.5000  4 Tl 3.64, 8 Sr 3.69
O: 0.0000 0.0000 0.0000  4 Sr 2.58, 2 Tl 2.64

***

Record 2
A plane-wave DFT calculation with PBE was carried out for a relaxed SrTl2BiO6 crystal.

size of the total moment: 0.25 μB/f.u.
symmetry: No. 146
crystal system: trigonal

Unit cell a=6.2552 b=6.2552 c=6.2552 alpha=57.11 beta=57.11 gamma=57.11
Last column: nearest neighbours and their distance in Å.
Sites, in units of the cell vectors:
Sr: 0.0000 0.0000 0.0000  6 O 2.48-2.64
Tl: 0.2218 0.2218 0.2218  6 O 2.25-2.42
Tl: 0.7290 0.7290 0.7290  6 O 2.27-2.46
Bi: 0.5152 0.5152 0.5152  6 O 2.24-2.28
O: 0.1219 0.4288 0.8129  2 Tl 2.27-2.42, 1 Bi 2.28
O: 0.3553 0.9026 0.5794  1 Bi 2.24, 2 Tl 2.25-2.46, 1 Sr 2.48
O: 0.4288 0.8129 0.1219  2 Tl 2.27-2.42, 1 Bi 2.28
O: 0.5794 0.3553 0.9026  1 Bi 2.24, 2 Tl 2.25-2.46, 1 Sr 2.48
O: 0.8129 0.1219 0.4288  2 Tl 2.27-2.42, 1 Bi 2.28
O: 0.9026 0.5794 0.3553  1 Bi 2.24, 2 Tl 2.25-2.46, 1 Sr 2.48

***

Short version: formation energy without anion corrections = -1.2679 -1.2174 eV/atom, in the order given.